# Dy3Er4Hg4

A relaxed Dy3Er4Hg4 crystal (PBE, the Alexandria database).

Output
- calculated formation energy (kJ/mol of atoms) = -24.5
- crystal system = orthorhombic

Lattice parameters (Å, degrees): 5.158 7.155 16.619 90.00 90.00 90.00
Space group Immm (No. 71)
One atom of each set of equivalent atoms:
Dy 0.000 0.000 0.000 [2 per cell]
Dy 0.000 0.500 0.102 [4 per cell]
Er 0.000 0.267 0.322 [8 per cell]
Hg 0.000 0.000 0.185 [4 per cell]
Hg 0.000 0.209 0.500 [4 per cell]